Computed, not measured: crystalline Sc2GaCo3 at its relaxed geometry at the PBE-GGA level of DFT.

Structure (extended XYZ):
```
12
Lattice="5.033 0.000 0.000 -2.516 4.358 0.000 0.000 0.000 7.798" Properties=species:S:1:pos:R:3 pbc="T T T"
Sc 0.000 2.906 0.504
Sc 0.000 2.906 3.395
Sc 2.516 1.453 4.403
Sc 2.516 1.453 7.294
Ga 0.000 0.000 0.000
Ga 0.000 0.000 3.899
Co 0.000 1.523 5.849
Co -1.197 3.597 5.849
Co 1.319 0.761 1.950
Co 1.197 3.597 5.849
Co 3.714 0.761 1.950
Co 2.516 2.835 1.950
```

Results
Energy above the most stable polymorph in this dataset   0.000 eV per atom
Magnetization   1.44 μB per formula unit
Formation energy   -43.0 kJ per mole of atoms